Here is crystalline Cs3Tm2I9 at its relaxed geometry from Alexandria. Energies are from GGA-PBE.

Lattice parameters (Å, degrees): 8.579 8.579 21.866 90.00 90.00 120.00
Element x y z (fractional)
Cs 0.000 0.000 0.250
Cs 0.000 0.000 0.750
Cs 0.333 0.667 0.063
Cs 0.333 0.667 0.437
Cs 0.667 0.333 0.563
Cs 0.667 0.333 0.937
Tm 0.333 0.667 0.658
Tm 0.333 0.667 0.842
Tm 0.667 0.333 0.158
Tm 0.667 0.333 0.342
I 0.015 0.507 0.750
I 0.166 0.332 0.588
I 0.166 0.332 0.912
I 0.166 0.834 0.588
I 0.166 0.834 0.912
I 0.332 0.166 0.088
I 0.332 0.166 0.412
I 0.493 0.507 0.750
I 0.493 0.985 0.750
I 0.507 0.015 0.250
I 0.507 0.493 0.250
I 0.668 0.834 0.588
I 0.668 0.834 0.912
I 0.834 0.166 0.088
I 0.834 0.166 0.412
I 0.834 0.668 0.088
I 0.834 0.668 0.412
I 0.985 0.493 0.250

Its symmetry is P6_3/mmc (194). The total energy comes out at -3.30 eV/atom. Its volume is 1394 Å³/cell. As for the density of states at the Fermi level: 0.00 states/eV/f.u. The magnetization is 0.00 μB per formula unit.


Here is crystalline CoMo2 at its relaxed geometry from Alexandria. Energies are from GGA-PBE.

Lattice parameters (Å, degrees): 5.135 5.135 8.153 90.00 90.00 120.00
Element x y z (fractional)
Co 0.333 0.667 0.064
Co 0.333 0.667 0.436
Co 0.667 0.333 0.564
Co 0.667 0.333 0.936
Mo 0.000 0.000 0.000
Mo 0.000 0.000 0.500
Mo 0.172 0.344 0.750
Mo 0.172 0.828 0.750
Mo 0.344 0.172 0.250
Mo 0.656 0.828 0.750
Mo 0.828 0.172 0.250
Mo 0.828 0.656 0.250

Its symmetry is P6_3/mmc (194). The total energy comes out at -8.93 eV/atom. Its volume is 186 Å³/cell. For the formation energy, the calculation gives 0.656 eV per atom. As for the density of states at the Fermi level: 3.16 states/eV/f.u. The magnetization is 0.69 μB per formula unit.


Here is crystalline Ca2Mg2Hg at its relaxed geometry from Alexandria. Energies are from GGA-PBE.

Lattice parameters (Å, degrees): 8.294 8.294 4.748 90.00 90.00 90.00
Element x y z (fractional)
Ca 0.158 0.342 0.000
Ca 0.342 0.842 0.000
Ca 0.658 0.158 0.000
Ca 0.842 0.658 0.000
Mg 0.138 0.638 0.500
Mg 0.362 0.138 0.500
Mg 0.638 0.862 0.500
Mg 0.862 0.362 0.500
Hg 0.000 0.000 0.000
Hg 0.500 0.500 0.000

Its symmetry is P4/mbm (127). Its distance to the lowest polymorph of the same formula is 0.138 eV/atom. The total energy comes out at -1.50 eV/atom. Its volume is 327 Å³/cell. For the formation energy, the calculation gives 0.000 eV per atom. As for the density of states at the Fermi level: 4.80 states/eV/f.u. The magnetization is 0.00 μB per formula unit.


Here is crystalline K2CoRu at its relaxed geometry from Alexandria. Energies are from GGA-PBE.

Lattice parameters (Å, degrees): 3.449 4.378 5.521 90.00 90.00 90.00
Element x y z (fractional)
K 0.000 0.000 0.000
K 0.500 0.500 0.000
Co 0.000 0.500 0.500
Ru 0.500 0.000 0.500

Its symmetry is Pmmm (47). Its distance to the lowest polymorph of the same formula is 0.584 eV/atom. The total energy comes out at -3.36 eV/atom. Its volume is 83 Å³/cell. For the formation energy, the calculation gives 1.283 eV per atom. As for the density of states at the Fermi level: 3.23 states/eV/f.u. The magnetization is 2.89 μB per formula unit.


Here is crystalline Ti2SnPO at its relaxed geometry from Alexandria. Energies are from GGA-PBE.

Lattice parameters (Å, degrees): 4.828 4.828 3.602 90.00 90.00 90.00
Element x y z (fractional)
Ti 0.000 0.500 0.000
Ti 0.500 0.000 0.000
Sn 0.000 0.000 0.500
P 0.500 0.500 0.000
O 0.500 0.500 0.500

Its symmetry is P4/mmm (123). The total energy comes out at -6.44 eV/atom. Its volume is 84 Å³/cell. As for the density of states at the Fermi level: 3.28 states/eV/f.u. The magnetization is 0.00 μB per formula unit.


Here is crystalline VTcHgN2 at its relaxed geometry from Alexandria. Energies are from GGA-PBE.

Lattice parameters (Å, degrees): 4.024 4.024 5.314 90.00 90.00 90.00
Element x y z (fractional)
V 0.000 0.000 0.000
Tc 0.500 0.500 0.000
Hg 0.500 0.500 0.500
N 0.000 0.500 0.500
N 0.500 0.000 0.500

Its symmetry is P4/mmm (123). The total energy comes out at -4.48 eV/atom. Its volume is 86 Å³/cell. As for the density of states at the Fermi level: 4.87 states/eV/f.u. The magnetization is 3.73 μB per formula unit.